{
  "formula": "K2CoRe",
  "functional": "GGA-PBE",
  "state": "optimized geometry",
  "e_tot_ev_per_cell": -15.9,
  "sg": "No. 10",
  "volume_a3_per_atom": 20.0,
  "n_ef_per_ev_cell": 4.684,
  "lattice": [[-4.614, 1.608, -3.058], [-1.028, -2.468, 0.253], [-2.623, 0.850, 4.406]],
  "species": ["K", "K", "Re", "Co"],
  "frac_coords": [[0.000, 0.954, 0.994], [0.000, 0.546, 0.506], [0.500, 0.250, 0.250], [0.500, 0.750, 0.750]]
}

***

{
  "formula": "KCo2Re",
  "functional": "GGA-PBE",
  "state": "optimized geometry",
  "e_tot_ev_per_cell": -23.1,
  "sg": "No. 123",
  "volume_a3_per_atom": 15.8,
  "n_ef_per_ev_cell": 5.846,
  "lattice": [[4.955, 0.000, 0.000], [0.000, 4.955, 0.000], [0.000, 0.000, 2.576]],
  "species": ["Co", "Co", "K", "Re"],
  "frac_coords": [[0.500, 0.500, 0.000], [0.000, 0.000, 0.000], [0.500, 0.000, 0.500], [0.000, 0.500, 0.500]]
}